(1)
Below is an optimized crystal structure of K2TlIn, with properties calculated at the PBE level.

Magnetic moment, μB/f.u.: 0.00
DOS at the Fermi energy, states/eV/cell: 1.97
ΔH_f (0 K), meV per atom: -96
ΔE to the lowest computed polymorph, meV per atom: 0.0

Unit cell a=5.249 b=7.082 c=9.789 alpha=76.24 beta=74.45 gamma=68.25
Element x y z (fractional)
K  0.817  0.342  0.023
K  0.441  0.419  0.698
K  0.818  0.839  0.526
K  0.197  0.257  0.348
In  0.566  0.922  0.946
In  0.067  0.761  0.106
Tl  0.128  0.983  0.761
Tl  0.508  0.694  0.290

***

(2)
Below is an optimized crystal structure of K2Tl6In3, with properties calculated at the PBE level.

Magnetic moment, μB/f.u.: 0.00
DOS at the Fermi energy, states/eV/cell: 4.12
ΔH_f (0 K), meV per atom: -31

Unit cell a=5.283 b=9.117 c=9.117 alpha=120.00 beta=90.00 gamma=90.00
Element x y z (fractional)
Tl  0.000  0.796  0.000
Tl  0.000  0.204  0.204
Tl  0.500  0.712  0.712
Tl  0.500  0.000  0.288
Tl  0.000  0.000  0.796
Tl  0.500  0.288  0.000
In  0.500  0.000  0.627
In  0.500  0.373  0.373
In  0.500  0.627  0.000
K  0.000  0.667  0.333
K  0.000  0.333  0.667

***

(3)
Below is an optimized crystal structure of KTlIn2, with properties calculated at the PBE level.

Magnetic moment, μB/f.u.: 0.00
DOS at the Fermi energy, states/eV/cell: 1.35
ΔH_f (0 K), meV per atom: -80
ΔE to the lowest computed polymorph, meV per atom: 26.1

Unit cell a=4.985 b=3.410 c=7.780 alpha=76.57 beta=90.00 gamma=90.00
Element x y z (fractional)
K  0.000  0.475  0.495
Tl  0.500  0.791  0.795
In  0.000  0.086  0.000
In  0.500  0.148  0.210

***

(4)
Below is an optimized crystal structure of K2Tl3In17, with properties calculated at the PBE level.

Magnetic moment, μB/f.u.: 0.00
DOS at the Fermi energy, states/eV/cell: 8.28
ΔH_f (0 K), meV per atom: 30

Unit cell a=10.112 b=10.008 c=7.572 alpha=92.74 beta=93.04 gamma=59.65
Element x y z (fractional)
In  0.720  0.036  0.258
In  0.154  0.841  0.004
In  0.686  0.688  0.210
In  0.314  0.312  0.790
In  0.846  0.159  0.996
In  0.353  0.771  0.348
In  0.000  0.000  0.500
In  0.000  0.500  0.000
In  0.280  0.964  0.742
In  0.850  0.853  0.790
In  0.774  0.352  0.346
In  0.150  0.147  0.210
In  0.647  0.229  0.652
In  0.986  0.269  0.738
In  0.500  0.000  0.000
In  0.226  0.648  0.654
In  0.014  0.731  0.262
Tl  0.500  0.000  0.500
Tl  0.500  0.500  0.000
Tl  0.000  0.500  0.500
K  0.644  0.633  0.704
K  0.356  0.367  0.296

***

(5)
Below is an optimized crystal structure of KTmTlIn, with properties calculated at the PBE level.

Magnetic moment, μB/f.u.: 0.00
DOS at the Fermi energy, states/eV/cell: 2.16
ΔH_f (0 K), meV per atom: -50

Unit cell a=5.544 b=5.544 c=5.544 alpha=60.00 beta=60.00 gamma=60.00
Element x y z (fractional)
Tl  0.000  0.000  0.000
Tm  0.250  0.250  0.250
In  0.500  0.500  0.500
K  0.750  0.750  0.750

***

(6)
Below is an optimized crystal structure of KTlInW2, with properties calculated at the PBE level.

Magnetic moment, μB/f.u.: 6.20
DOS at the Fermi energy, states/eV/cell: 4.27
ΔH_f (0 K), meV per atom: 2192

Unit cell a=5.250 b=5.998 c=5.250 alpha=90.00 beta=90.00 gamma=90.00
Last column: magnetic moment on the atom in μB.
Element x y z (fractional)
Tl  0.500  0.500  0.500  0.02
W  0.000  0.000  0.500  2.44
W  0.500  0.000  0.000  2.05
In  0.000  0.000  0.000  0.01
K  0.000  0.500  0.000  0.00

***

(7)
Below is an optimized crystal structure of KTlZnIn2, with properties calculated at the PBE level.

Magnetic moment, μB/f.u.: 0.00
DOS at the Fermi energy, states/eV/cell: 3.53
ΔH_f (0 K), meV per atom: 97

Unit cell a=5.291 b=5.291 c=5.886 alpha=90.00 beta=90.00 gamma=90.00
Element x y z (fractional)
Zn  0.000  0.000  0.000
Tl  0.000  0.000  0.500
In  0.000  0.500  0.000
In  0.500  0.000  0.000
K  0.500  0.500  0.500

***

(8)
Below is an optimized crystal structure of K2Tl6ZnIn, with properties calculated at the PBE level.

Magnetic moment, μB/f.u.: 0.00
DOS at the Fermi energy, states/eV/cell: 8.81
ΔH_f (0 K), meV per atom: 41

Unit cell a=6.835 b=9.794 c=10.732 alpha=90.00 beta=90.00 gamma=90.00
Element x y z (fractional)
K  0.500  0.720  0.276
K  0.500  0.720  0.724
K  0.000  0.280  0.776
K  0.000  0.280  0.224
Tl  0.241  0.008  0.500
Tl  0.500  0.125  0.251
Tl  0.250  0.540  0.000
Tl  0.259  0.992  0.000
Tl  0.000  0.875  0.249
Tl  0.750  0.540  0.000
Tl  0.500  0.125  0.749
Tl  0.750  0.460  0.500
Tl  0.741  0.992  0.000
Tl  0.759  0.008  0.500
Tl  0.000  0.875  0.751
Tl  0.250  0.460  0.500
Zn  0.500  0.242  0.500
Zn  0.000  0.758  0.000
In  0.500  0.287  0.000
In  0.000  0.713  0.500

***

(9)
Below is an optimized crystal structure of KTmIn2, with properties calculated at the PBE level.

Magnetic moment, μB/f.u.: 0.00
DOS at the Fermi energy, states/eV/cell: 2.45
ΔH_f (0 K), meV per atom: -215
ΔE to the lowest computed polymorph, meV per atom: 0.0

Unit cell a=3.801 b=3.801 c=8.586 alpha=90.00 beta=90.00 gamma=90.00
Element x y z (fractional)
K  0.500  0.500  0.500
In  0.000  0.000  0.798
In  0.000  0.000  0.202
Tm  0.500  0.500  0.000

***

(10)
Below is an optimized crystal structure of KTmIn2, with properties calculated at the PBE level.

Magnetic moment, μB/f.u.: 0.00
DOS at the Fermi energy, states/eV/cell: 3.60
ΔH_f (0 K), meV per atom: -60
ΔE to the lowest computed polymorph, meV per atom: 154.7

Unit cell a=3.618 b=3.618 c=11.193 alpha=80.70 beta=80.70 gamma=60.00
Element x y z (fractional)
In  0.258  0.258  0.226
In  0.742  0.742  0.774
Tm  0.000  0.000  0.000
K  0.500  0.500  0.500

***

(11)
Below is an optimized crystal structure of KV3In, with properties calculated at the PBE level.

Magnetic moment, μB/f.u.: 11.01
DOS at the Fermi energy, states/eV/cell: 11.50
ΔH_f (0 K), meV per atom: 1503
ΔE to the lowest computed polymorph, meV per atom: 0.0

Unit cell a=5.324 b=5.324 c=5.324 alpha=90.00 beta=90.00 gamma=90.00
Last column: magnetic moment on the atom in μB.
Element x y z (fractional)
In  0.000  0.000  0.000  -0.03
V  0.000  0.000  0.500  2.82
V  0.000  0.500  0.000  2.82
V  0.500  0.000  0.000  2.82
K  0.500  0.500  0.500  0.05

***

(12)
Below is an optimized crystal structure of KVIn3, with properties calculated at the PBE level.

Magnetic moment, μB/f.u.: 2.70
DOS at the Fermi energy, states/eV/cell: 3.11
ΔH_f (0 K), meV per atom: 185
ΔE to the lowest computed polymorph, meV per atom: 0.0

Unit cell a=5.374 b=5.374 c=5.374 alpha=90.00 beta=90.00 gamma=90.00
Last column: magnetic moment on the atom in μB.
Element x y z (fractional)
In  0.000  0.500  0.000  0.03
In  0.500  0.000  0.000  0.03
In  0.000  0.000  0.500  0.03
V  0.000  0.000  0.000  2.30
K  0.500  0.500  0.500  -0.01

***

(13)
Below is an optimized crystal structure of K3VIn, with properties calculated at the PBE level.

Magnetic moment, μB/f.u.: 5.25
DOS at the Fermi energy, states/eV/cell: 8.05
ΔH_f (0 K), meV per atom: 957
ΔE to the lowest computed polymorph, meV per atom: 0.0

Unit cell a=6.449 b=6.449 c=6.449 alpha=90.00 beta=90.00 gamma=90.00
Last column: magnetic moment on the atom in μB.
Element x y z (fractional)
K  0.000  0.500  0.000  0.04
K  0.500  0.000  0.000  0.04
K  0.000  0.000  0.500  0.04
V  0.000  0.000  0.000  3.39
In  0.500  0.500  0.500  0.02

***

(14)
Below is an optimized crystal structure of KV3In, with properties calculated at the PBE level.

Magnetic moment, μB/f.u.: 0.00
DOS at the Fermi energy, states/eV/cell: 4.11
ΔH_f (0 K), meV per atom: 2243
ΔE to the lowest computed polymorph, meV per atom: 740.0

Unit cell a=4.378 b=4.378 c=4.378 alpha=90.00 beta=90.00 gamma=90.00
Element x y z (fractional)
K  0.000  0.000  0.000
In  0.500  0.500  0.500
V  0.000  0.500  0.000
V  0.500  0.000  0.000
V  0.000  0.000  0.500

***

(15)
Below is an optimized crystal structure of KVIn3, with properties calculated at the PBE level.

Magnetic moment, μB/f.u.: 3.74
DOS at the Fermi energy, states/eV/cell: 10.21
ΔH_f (0 K), meV per atom: 1442
ΔE to the lowest computed polymorph, meV per atom: 1256.7

Unit cell a=5.843 b=5.843 c=5.843 alpha=90.00 beta=90.00 gamma=90.00
Last column: magnetic moment on the atom in μB.
Element x y z (fractional)
In  0.000  0.500  0.000  -0.02
In  0.500  0.000  0.000  -0.02
In  0.000  0.000  0.500  -0.02
V  0.500  0.500  0.500  3.15
K  0.000  0.000  0.000  -0.02

***

(16)
Below is an optimized crystal structure of KIn2W, with properties calculated at the PBE level.

Magnetic moment, μB/f.u.: 0.14
DOS at the Fermi energy, states/eV/cell: 4.07
ΔH_f (0 K), meV per atom: 589
ΔE to the lowest computed polymorph, meV per atom: 125.7

Unit cell a=8.807 b=8.807 c=8.807 alpha=160.86 beta=148.03 gamma=37.53
Last column: magnetic moment on the atom in μB.
Element x y z (fractional)
K  0.567  0.567  0.000  0.00
W  0.770  0.270  0.500  0.08
In  0.915  0.915  0.000  0.01
In  0.248  0.748  0.500  0.00

***

(17)
Below is an optimized crystal structure of KIn2W, with properties calculated at the PBE level.

Magnetic moment, μB/f.u.: 0.00
DOS at the Fermi energy, states/eV/cell: 2.89
ΔH_f (0 K), meV per atom: 775
ΔE to the lowest computed polymorph, meV per atom: 311.5

Unit cell a=11.226 b=11.226 c=11.226 alpha=16.08 beta=16.08 gamma=16.08
Element x y z (fractional)
In  0.258  0.258  0.258
In  0.004  0.004  0.004
W  0.741  0.741  0.741
K  0.497  0.497  0.497

***

(18)
Below is an optimized crystal structure of KIn2W, with properties calculated at the PBE level.

Magnetic moment, μB/f.u.: 2.87
DOS at the Fermi energy, states/eV/cell: 3.23
ΔH_f (0 K), meV per atom: 962
ΔE to the lowest computed polymorph, meV per atom: 498.8

Unit cell a=5.158 b=5.158 c=5.158 alpha=60.00 beta=60.00 gamma=60.00
Last column: magnetic moment on the atom in μB.
Element x y z (fractional)
W  0.500  0.500  0.500  2.09
In  0.750  0.750  0.750  -0.02
In  0.250  0.250  0.250  -0.02
K  0.000  0.000  0.000  0.01

***

(19)
Below is an optimized crystal structure of KIn2W, with properties calculated at the PBE level.

Magnetic moment, μB/f.u.: 1.36
DOS at the Fermi energy, states/eV/cell: 3.56
ΔH_f (0 K), meV per atom: 627
ΔE to the lowest computed polymorph, meV per atom: 163.5

Unit cell a=3.486 b=3.486 c=8.442 alpha=90.00 beta=90.00 gamma=90.00
Last column: magnetic moment on the atom in μB.
Element x y z (fractional)
W  0.500  0.500  0.750  0.84
In  0.000  0.000  0.567  0.03
In  0.000  0.000  0.933  0.03
K  0.500  0.500  0.250  0.02

***

(20)
Below is an optimized crystal structure of KIn2W, with properties calculated at the PBE level.

Magnetic moment, μB/f.u.: 0.38
DOS at the Fermi energy, states/eV/cell: 3.32
ΔH_f (0 K), meV per atom: 833
ΔE to the lowest computed polymorph, meV per atom: 369.6

Unit cell a=3.845 b=3.845 c=8.472 alpha=90.00 beta=90.00 gamma=90.00
Last column: magnetic moment on the atom in μB.
Element x y z (fractional)
In  0.000  0.000  0.910  -0.01
In  0.500  0.500  0.196  0.00
W  0.500  0.500  0.879  0.30
K  0.000  0.000  0.516  0.00

***

(21)
Below is an optimized crystal structure of KIn2W, with properties calculated at the PBE level.

Magnetic moment, μB/f.u.: 0.00
DOS at the Fermi energy, states/eV/cell: 2.23
ΔH_f (0 K), meV per atom: 760
ΔE to the lowest computed polymorph, meV per atom: 296.4

Unit cell a=2.991 b=2.991 c=10.705 alpha=90.00 beta=90.00 gamma=90.00
Element x y z (fractional)
In  0.500  0.500  0.225
In  0.000  0.000  0.980
W  0.500  0.500  0.783
K  0.000  0.000  0.512

***

(22)
Below is an optimized crystal structure of KIn2W, with properties calculated at the PBE level.

Magnetic moment, μB/f.u.: 3.96
DOS at the Fermi energy, states/eV/cell: 2.63
ΔH_f (0 K), meV per atom: 1245
ΔE to the lowest computed polymorph, meV per atom: 782.2

Unit cell a=5.285 b=5.285 c=5.285 alpha=60.00 beta=60.00 gamma=60.00
Last column: magnetic moment on the atom in μB.
Element x y z (fractional)
In  0.000  0.000  0.000  -0.04
In  0.250  0.250  0.250  0.01
W  0.750  0.750  0.750  2.86
K  0.500  0.500  0.500  0.05

***

(23)
Below is an optimized crystal structure of KIn2W, with properties calculated at the PBE level.

Magnetic moment, μB/f.u.: 0.45
DOS at the Fermi energy, states/eV/cell: 3.79
ΔH_f (0 K), meV per atom: 1142
ΔE to the lowest computed polymorph, meV per atom: 678.7

Unit cell a=5.909 b=5.909 c=5.909 alpha=137.08 beta=137.08 gamma=62.32
Last column: magnetic moment on the atom in μB.
Element x y z (fractional)
K  0.500  0.500  0.000  0.01
In  0.000  0.000  0.000  0.01
In  0.250  0.750  0.500  -0.02
W  0.750  0.250  0.500  0.33

***

(24)
Below is an optimized crystal structure of KIn2W, with properties calculated at the PBE level.

Magnetic moment, μB/f.u.: 0.00
DOS at the Fermi energy, states/eV/cell: 2.45
ΔH_f (0 K), meV per atom: 821
ΔE to the lowest computed polymorph, meV per atom: 358.1

Unit cell a=5.456 b=5.456 c=3.028 alpha=90.00 beta=90.00 gamma=90.08
Element x y z (fractional)
In  0.500  0.500  0.000
In  0.000  0.000  0.000
W  0.000  0.500  0.500
K  0.500  0.000  0.500

***

(25)
Below is an optimized crystal structure of KIn2W, with properties calculated at the PBE level.

Magnetic moment, μB/f.u.: 0.86
DOS at the Fermi energy, states/eV/cell: 2.35
ΔH_f (0 K), meV per atom: 656
ΔE to the lowest computed polymorph, meV per atom: 192.4

Unit cell a=4.952 b=4.952 c=7.587 alpha=85.50 beta=85.50 gamma=34.52
Last column: magnetic moment on the atom in μB.
Element x y z (fractional)
In  0.511  0.511  0.434  0.00
In  0.989  0.989  0.066  0.00
W  0.250  0.250  0.250  0.60
K  0.750  0.750  0.750  0.01

***

(26)
Below is an optimized crystal structure of KIn2W, with properties calculated at the PBE level.

Magnetic moment, μB/f.u.: 0.00
DOS at the Fermi energy, states/eV/cell: 1.39
ΔH_f (0 K), meV per atom: 463
ΔE to the lowest computed polymorph, meV per atom: 0.0

Unit cell a=2.989 b=2.989 c=10.289 alpha=90.00 beta=90.00 gamma=90.08
Element x y z (fractional)
W  0.500  0.500  0.750
In  0.000  0.000  0.534
In  0.000  0.000  0.966
K  0.500  0.500  0.250

***

(27)
Below is an optimized crystal structure of K3InW, with properties calculated at the PBE level.

Magnetic moment, μB/f.u.: 5.24
DOS at the Fermi energy, states/eV/cell: 5.34
ΔH_f (0 K), meV per atom: 1466
ΔE to the lowest computed polymorph, meV per atom: 0.0

Unit cell a=6.641 b=6.641 c=6.641 alpha=90.00 beta=90.00 gamma=90.00
Last column: magnetic moment on the atom in μB.
Element x y z (fractional)
W  0.000  0.000  0.000  3.44
K  0.000  0.000  0.500  0.03
K  0.000  0.500  0.000  0.03
K  0.500  0.000  0.000  0.03
In  0.500  0.500  0.500  -0.01